Entry 1:
Entry from Alexandria: crystalline Ho5SbAu2 at its relaxed geometry (GGA-PBE).

Calculated volume: 26.26 Å³/atom
Formation energy without anion corrections: -590 kJ/mol of formula units
Space group: I4/mcm
Fermi-level density of states: 7.1 states/eV/f.u.

a = 8.6367 Å, b = 8.6367 Å, c = 8.6367 Å
α = 124.53°, β = 124.53°, γ = 82.31°
With the nearest neighbours (Å) after each atom.
Sites, in units of the cell vectors:
Ho: 0.0000 0.0000 0.0000  4 Au 3.12, 2 Sb 3.25
Ho: 0.0122 0.5122 0.8108  3 Au 3.00-3.01, 2 Sb 3.34
Ho: 0.2013 0.0122 0.5000  3 Au 3.00-3.01, 2 Sb 3.34
Ho: 0.2987 0.7987 0.8108  3 Au 3.00-3.01, 2 Sb 3.34
Ho: 0.4878 0.2987 0.5000  3 Au 3.00-3.01, 2 Sb 3.34
Ho: 0.5000 0.5000 0.0000  4 Au 3.12, 2 Sb 3.25
Ho: 0.5122 0.7013 0.5000  3 Au 3.00-3.01, 2 Sb 3.34
Ho: 0.7013 0.2013 0.1892  3 Au 3.00-3.01, 2 Sb 3.34
Ho: 0.7987 0.9878 0.5000  3 Au 3.00-3.01, 2 Sb 3.34
Ho: 0.9878 0.4878 0.1892  3 Au 3.00-3.01, 2 Sb 3.34
Sb: 0.2500 0.2500 0.0000  10 Ho 3.25-3.34
Sb: 0.7500 0.7500 0.0000  10 Ho 3.25-3.34
Au: 0.1375 0.3625 0.5000  8 Ho 3.00-3.12, 1 Au 3.13
Au: 0.3625 0.8625 0.2249  8 Ho 3.00-3.12, 1 Au 3.13
Au: 0.6375 0.1375 0.7751  8 Ho 3.00-3.12, 1 Au 3.13
Au: 0.8625 0.6375 0.5000  8 Ho 3.00-3.12, 1 Au 3.13

---

Entry 2:
Entry from Alexandria: crystalline Ho2Sb4Au at its relaxed geometry (GGA-PBE).

Calculated volume: 26.52 Å³/atom
Formation energy without anion corrections: -455 kJ/mol of formula units
Space group: P-4m2
Fermi-level density of states: 2.8 states/eV/f.u.

a = 4.4087 Å, b = 4.4087 Å, c = 9.5509 Å
α = 90.00°, β = 90.00°, γ = 90.00°
With the nearest neighbours (Å) after each atom.
Sites, in units of the cell vectors:
Ho: 0.0000 0.5000 0.2444  8 Sb 3.20-3.29, 2 Au 3.21
Ho: 0.5000 0.0000 0.7556  8 Sb 3.20-3.29, 2 Au 3.21
Sb: 0.0000 0.0000 0.5000  4 Sb 3.12, 4 Ho 3.29
Sb: 0.0000 0.5000 0.8310  2 Au 2.73
Sb: 0.5000 0.0000 0.1690  2 Au 2.73
Sb: 0.5000 0.5000 0.5000  4 Sb 3.12, 4 Ho 3.29
Au: 0.5000 0.5000 0.0000  4 Sb 2.73

---

Entry 3:
Entry from Alexandria: crystalline Ho3Sb4Au3 at its relaxed geometry (GGA-PBE).

Calculated volume: 24.39 Å³/atom
Formation energy without anion corrections: -772 kJ/mol of formula units
Space group: I-43d

a = 8.5894 Å, b = 8.5894 Å, c = 8.5894 Å
α = 109.47°, β = 109.47°, γ = 109.47°
With the nearest neighbours (Å) after each atom.
Sites, in units of the cell vectors:
Ho: 0.1250 0.8750 0.2500  4 Au 3.04, 4 Sb 3.37
Ho: 0.2500 0.1250 0.8750  4 Au 3.04, 4 Sb 3.37
Ho: 0.3750 0.6250 0.7500  4 Au 3.04, 4 Sb 3.37
Ho: 0.6250 0.7500 0.3750  4 Au 3.04, 4 Sb 3.37
Ho: 0.7500 0.3750 0.6250  4 Au 3.04, 4 Sb 3.37
Ho: 0.8750 0.2500 0.1250  4 Au 3.04, 4 Sb 3.37
Sb: 0.0000 0.1794 0.5000  3 Au 2.80
Sb: 0.0000 0.6794 0.5000  3 Au 2.80
Sb: 0.1794 0.5000 0.0000  3 Au 2.80
Sb: 0.3206 0.3206 0.3206  3 Au 2.80
Sb: 0.5000 0.0000 0.1794  3 Au 2.80
Sb: 0.5000 0.0000 0.6794  3 Au 2.80
Sb: 0.6794 0.5000 0.0000  3 Au 2.80
Sb: 0.8206 0.8206 0.8206  3 Au 2.80
Au: 0.1250 0.7500 0.8750  4 Sb 2.80, 4 Ho 3.04
Au: 0.2500 0.6250 0.3750  4 Sb 2.80, 4 Ho 3.04
Au: 0.3750 0.2500 0.6250  4 Sb 2.80, 4 Ho 3.04
Au: 0.6250 0.3750 0.2500  4 Sb 2.80, 4 Ho 3.04
Au: 0.7500 0.8750 0.1250  4 Sb 2.80, 4 Ho 3.04
Au: 0.8750 0.1250 0.7500  4 Sb 2.80, 4 Ho 3.04

---

Entry 4:
Entry from Alexandria: crystalline Ho3SbAu at its relaxed geometry (GGA-PBE).

Calculated volume: 28.85 Å³/atom
Formation energy without anion corrections: -324 kJ/mol of formula units
Space group: Pmma
Fermi-level density of states: 5.0 states/eV/f.u.

a = 6.3169 Å, b = 5.3541 Å, c = 8.5289 Å
α = 90.00°, β = 90.00°, γ = 90.00°
With the nearest neighbours (Å) after each atom.
Sites, in units of the cell vectors:
Ho: 0.0000 0.0000 0.0000  2 Au 3.05, 2 Ho 3.16, 4 Sb 3.34
Ho: 0.2500 0.0000 0.3619  1 Au 2.83
Ho: 0.2500 0.5000 0.7579  2 Au 2.73
Ho: 0.5000 0.0000 0.0000  2 Au 3.05, 2 Ho 3.16, 4 Sb 3.34
Ho: 0.7500 0.0000 0.6381  1 Au 2.83
Ho: 0.7500 0.5000 0.2421  2 Au 2.73
Sb: 0.2500 0.5000 0.1435  9 Ho 3.26-3.34
Sb: 0.7500 0.5000 0.8565  9 Ho 3.26-3.34
Au: 0.2500 0.0000 0.6937  5 Ho 2.73-3.05
Au: 0.7500 0.0000 0.3063  5 Ho 2.73-3.05

---

Entry 5:
Entry from Alexandria: crystalline Ho5Sb2Au at its relaxed geometry (GGA-PBE).

Calculated volume: 30.56 Å³/atom
Formation energy without anion corrections: -361 kJ/mol of formula units
Space group: Cmcm
Fermi-level density of states: 8.4 states/eV/f.u.

a = 6.6671 Å, b = 6.6671 Å, c = 14.0027 Å
α = 90.00°, β = 90.00°, γ = 128.24°
With the nearest neighbours (Å) after each atom.
Sites, in units of the cell vectors:
Ho: 0.0629 0.9371 0.6065  1 Au 2.91, 2 Sb 3.09-3.15
Ho: 0.0629 0.9371 0.8935  1 Au 2.91, 2 Sb 3.09-3.15
Ho: 0.3555 0.6445 0.2500  2 Sb 2.98, 2 Au 3.12
Ho: 0.3798 0.6202 0.5663  3 Sb 3.06-3.11, 1 Au 3.08
Ho: 0.3798 0.6202 0.9337  3 Sb 3.06-3.11, 1 Au 3.08
Ho: 0.6202 0.3798 0.0663  3 Sb 3.06-3.11, 1 Au 3.08
Ho: 0.6202 0.3798 0.4337  3 Sb 3.06-3.11, 1 Au 3.08
Ho: 0.6445 0.3555 0.7500  2 Sb 2.98, 2 Au 3.12
Ho: 0.9371 0.0629 0.1065  1 Au 2.91, 2 Sb 3.09-3.15
Ho: 0.9371 0.0629 0.3935  1 Au 2.91, 2 Sb 3.09-3.15
Sb: 0.1935 0.8065 0.0886  6 Ho 2.98-3.15
Sb: 0.1935 0.8065 0.4114  6 Ho 2.98-3.15
Sb: 0.8065 0.1935 0.5886  6 Ho 2.98-3.15
Sb: 0.8065 0.1935 0.9114  6 Ho 2.98-3.15
Au: 0.2386 0.7614 0.7500  6 Ho 2.91-3.12
Au: 0.7614 0.2386 0.2500  6 Ho 2.91-3.12

---

Entry 6:
Entry from Alexandria: crystalline HoSc2Au3 at its relaxed geometry (GGA-PBE).

Formation energy from the elements: -0.83 eV per atom
Calculated volume: 20.76 Å³/atom
Space group: P4/mmm
Fermi-level density of states: 2.1 states/eV/f.u.

a = 3.4447 Å, b = 3.4447 Å, c = 10.4981 Å
α = 90.00°, β = 90.00°, γ = 90.00°
With the nearest neighbours (Å) after each atom.
Sites, in units of the cell vectors:
Ho: 0.0000 0.0000 0.0000  8 Au 3.11, 4 Ho 3.44
Sc: 0.0000 0.0000 0.3388  8 Au 2.93-2.97
Sc: 0.0000 0.0000 0.6612  8 Au 2.93-2.97
Au: 0.5000 0.5000 0.1840  4 Sc 2.93, 4 Ho 3.11
Au: 0.5000 0.5000 0.5000  8 Sc 2.97, 2 Au 3.32
Au: 0.5000 0.5000 0.8160  4 Sc 2.93, 4 Ho 3.11